(1)
PrYIn6 after structural relaxation. Source: the Alexandria database, functional PBE-GGA.

abc: 4.693 4.693 9.376
angles: 90.00 90.00 90.00
Fractional coordinates of all 8 atoms:
Pr 0.000 0.000 0.000
Y 0.000 0.000 0.500
In 0.500 0.500 0.000
In 0.500 0.500 0.500
In 0.500 0.000 0.255
In 0.500 0.000 0.745
In 0.000 0.500 0.255
In 0.000 0.500 0.745

Values from the calculation:
- calculated formation energy (eV per atom) = -0.45
- DOS(E_F) (states/eV per atom) = 0.392
- E (eV per atom) = -3.9094

***

(2)
ZnCu2Rh2 after structural relaxation. Source: the Alexandria database, functional PBE-GGA.

abc: 4.103 4.103 4.985
angles: 89.96 89.96 114.61
Fractional coordinates of all 5 atoms:
Zn 0.000 0.000 0.000
Cu 0.171 0.829 0.500
Cu 0.829 0.171 0.500
Rh 0.501 0.501 0.750
Rh 0.499 0.499 0.250

Values from the calculation:
- calculated formation energy (eV per atom) = 0.24
- DOS(E_F) (states/eV per atom) = 0.947
- E (eV per atom) = -4.5931

***

(3)
FeBi2H after structural relaxation. Source: the Alexandria database, functional PBE-GGA.

abc: 6.437 6.437 5.858
angles: 56.67 56.67 90.00
Fractional coordinates of all 8 atoms:
H 0.500 0.500 0.000
H 0.250 0.750 0.500
Bi 0.585 0.125 0.250
Bi 0.165 0.625 0.250
Bi 0.375 0.415 0.750
Bi 0.875 0.835 0.750
Fe 0.000 0.000 0.000
Fe 0.750 0.250 0.500

Values from the calculation:
- DOS(E_F) (states/eV per atom) = 0.870
- E (eV per atom) = -4.1514

***

(4)
Os2Au3 after structural relaxation. Source: the Alexandria database, functional PBE-GGA.

abc: 11.905 11.905 11.905
angles: 13.62 13.62 13.62
Fractional coordinates of all 5 atoms:
Os 0.601 0.601 0.601
Os 0.399 0.399 0.399
Au 0.000 0.000 0.000
Au 0.798 0.798 0.798
Au 0.202 0.202 0.202

Values from the calculation:
- calculated formation energy (eV per atom) = 0.55
- DOS(E_F) (states/eV per atom) = 0.769
- E (eV per atom) = -5.9102

***

(5)
MgMoPb after structural relaxation. Source: the Alexandria database, functional PBE-GGA.

abc: 4.717 4.717 4.717
angles: 60.00 60.00 60.00
Fractional coordinates of all 3 atoms:
Mg 0.500 0.500 0.500
Mo 0.750 0.750 0.750
Pb 0.000 0.000 0.000

Values from the calculation:
- calculated formation energy (eV per atom) = 0.79
- DOS(E_F) (states/eV per atom) = 0.485
- E (eV per atom) = -4.5838

***

(6)
TaGa2TeF after structural relaxation. Source: the Alexandria database, functional PBE-GGA.

abc: 4.284 5.244 4.284
angles: 90.00 90.00 90.00
Fractional coordinates of all 5 atoms:
F 0.000 0.000 0.000
Te 0.000 0.500 0.000
Ga 0.000 0.000 0.500
Ga 0.500 0.000 0.000
Ta 0.500 0.500 0.500

Values from the calculation:
- DOS(E_F) (states/eV per atom) = 0.849
- E (eV per atom) = -4.4446